# 1
Pr5Bi4Sb | the Alexandria database | PBE | relaxed; M_tot = 0.00 μB/cell; formation energy without anion corrections = -1.01 eV per atom; space-group type = I4/m
1.0
-5.1707 5.1707 3.2697
5.1707 -5.1707 3.2697
5.1707 5.1707 -3.2697
Pr Bi Sb
5 4 1
Cartesian
0.0000 0.0000 0.0000 Pr
4.1453 2.1055 0.0000 Pr
3.0652 -1.0254 3.2697 Pr
2.1055 6.1961 0.0000 Pr
1.0254 3.0652 3.2697 Pr
7.2339 1.0225 0.0000 Bi
1.0225 3.1076 0.0000 Bi
4.1483 2.0632 3.2697 Bi
-2.0632 4.1483 3.2697 Bi
0.0000 0.0000 3.2697 Sb

# 2
La9Pm2Sm3 | the Alexandria database | PBE | relaxed; M_tot = 0.00 μB/cell; DFT formation energy = 2.79 eV/f.u.; space-group type = P6_3/m
1.0
9.1210 0.0000 0.0000
-4.5605 7.8990 0.0000
0.0000 0.0000 14.0525
La Pm Sm
18 4 6
Cartesian
-1.7688 4.2967 3.5131 La
-2.2663 5.9688 0.5864 La
-2.2663 5.9688 6.4399 La
0.5245 2.9520 0.5864 La
0.5245 2.9520 6.4399 La
2.8187 1.0217 7.6127 La
2.8187 1.0217 13.4662 La
1.7238 4.2188 3.5131 La
0.0450 7.2824 3.5131 La
4.5155 0.6166 10.5394 La
2.8367 3.6802 10.5394 La
1.7418 6.8773 0.5864 La
1.7418 6.8773 6.4399 La
4.0360 4.9470 7.6127 La
4.0360 4.9470 13.4662 La
6.8268 1.9302 7.6127 La
6.8268 1.9302 13.4662 La
6.3293 3.6023 10.5394 La
0.0000 5.2660 8.9319 Pm
0.0000 5.2660 12.1470 Pm
4.5605 2.6330 1.9056 Pm
4.5605 2.6330 5.1207 Pm
-2.9419 6.7528 10.5394 Sm
0.1833 1.9749 10.5394 Sm
1.8019 0.8287 3.5131 Sm
2.7585 7.0703 10.5394 Sm
4.3772 5.9241 3.5131 Sm
7.5024 1.1462 3.5131 Sm

Which formula does entry 1 have? Pr5Bi4Sb

What is the M_tot in the second record? 0.00 μB/cell